VASP calculation (PBE) on crystalline Te2N2F at its relaxed geometry.

For the electronic total energy, the calculation gives -3.844 eV/atom. As for the magnetization: 0.24 μB per formula unit.

The space group is P4/mmm (No. 123) and the conventional cell measures 3.880, 3.880 and 6.543 Å, with angles of 90.00, 90.00 and 90.00 degrees. Symmetry generates all atoms from Te at (0.000, 0.000, 0.000), Te at (0.000, 0.000, 0.500), N at (0.000, 0.500, 0.000) and F at (0.500, 0.500, 0.500).

VASP calculation (PBE) on crystalline TeN2F at its relaxed geometry.

For the electronic total energy, the calculation gives -4.345 eV/atom. As for the magnetization: 0.00 μB per formula unit.

The space group is R-3m (No. 166, hexagonal axes) and the conventional cell measures 3.4172, 3.4172 and 17.4218 Å, with angles of 90.00, 90.00 and 120.00 degrees. Symmetry generates all atoms from Te at (0.0000, 0.0000, 0.0000), N at (0.0000, 0.0000, 0.3913) and F at (0.0000, 0.0000, 0.5000).

VASP calculation (PBE) on crystalline TiTeNF2 at its relaxed geometry.

For the electronic total energy, the calculation gives -4.665 eV/atom. As for the magnetization: 2.56 μB per formula unit.

The space group is P4/mmm (No. 123) and the conventional cell measures 4.586, 4.586 and 4.167 Å, with angles of 90.00, 90.00 and 90.00 degrees. Symmetry generates all atoms from Ti at (0.000, 0.000, 0.000), Te at (0.500, 0.500, 0.500), N at (0.500, 0.500, 0.000) and F at (0.000, 0.500, 0.500).

VASP calculation (PBE) on crystalline TiTeNF2 at its relaxed geometry.

For the electronic total energy, the calculation gives -5.812 eV/atom. As for the magnetization: 0.49 μB per formula unit.

The space group is P4/mmm (No. 123) and the conventional cell measures 3.936, 3.936 and 4.434 Å, with angles of 90.00, 90.00 and 90.00 degrees. Symmetry generates all atoms from Ti at (0.000, 0.000, 0.000), Te at (0.500, 0.500, 0.500), N at (0.000, 0.000, 0.500) and F at (0.000, 0.500, 0.000).

VASP calculation (PBE) on crystalline TlTeNF2 at its relaxed geometry.

For the electronic total energy, the calculation gives -4.152 eV/atom. As for the magnetization: 0.00 μB per formula unit.

The space group is P4/mmm (No. 123) and the conventional cell measures 4.782, 4.782 and 4.096 Å, with angles of 90.00, 90.00 and 90.00 degrees. Symmetry generates all atoms from Tl at (0.000, 0.000, 0.000), Te at (0.500, 0.500, 0.500), N at (0.500, 0.500, 0.000) and F at (0.000, 0.500, 0.500).

VASP calculation (PBE) on crystalline TlTe2NF at its relaxed geometry.

For the electronic total energy, the calculation gives -2.590 eV/atom. As for the magnetization: 0.00 μB per formula unit.

The space group is P4/mmm (No. 123) and the conventional cell measures 5.868, 5.868 and 4.086 Å, with angles of 90.00, 90.00 and 90.00 degrees. Symmetry generates all atoms from Tl at (0.000, 0.000, 0.000), Te at (0.000, 0.500, 0.000), N at (0.000, 0.000, 0.500) and F at (0.500, 0.500, 0.500).

VASP calculation (PBE) on crystalline TlTe2NF at its relaxed geometry.

For the electronic total energy, the calculation gives -2.950 eV/atom. As for the magnetization: 1.13 μB per formula unit.

The space group is P4/mmm (No. 123) and the conventional cell measures 4.779, 4.779 and 5.631 Å, with angles of 90.00, 90.00 and 90.00 degrees. Symmetry generates all atoms from Tl at (0.000, 0.000, 0.000), Te at (0.000, 0.500, 0.500), N at (0.500, 0.500, 0.000) and F at (0.500, 0.500, 0.500).

VASP calculation (PBE) on crystalline TlTeNF2 at its relaxed geometry.

For the electronic total energy, the calculation gives -3.503 eV/atom. As for the magnetization: 0.94 μB per formula unit.

The space group is P4/mmm (No. 123) and the conventional cell measures 4.427, 4.427 and 4.551 Å, with angles of 90.00, 90.00 and 90.00 degrees. Symmetry generates all atoms from Tl at (0.000, 0.000, 0.000), Te at (0.500, 0.500, 0.500), N at (0.000, 0.000, 0.500) and F at (0.000, 0.500, 0.000).

The highest electronic total energy belongs to which entry?
number 6